Material: Be2Si
Method: DFT, GGA-PBE
State: optimized geometry

Computed properties:
magnetization: 0.0 μB per cell
Fermi-level density of states: 0.6 states/eV per cell
theoretical density: 2.41 g/cm³
uncorrected formation energy: 0.350 eV per atom
space-group type: P-3m1
polymorph energy (0 for the lowest one): 214 meV/atom

Unit cell a=2.576 b=2.576 c=5.540 alpha=90.00 beta=90.00 gamma=120.00
Positions (direct):
Be1 0.333 0.667 0.343
Be2 0.667 0.333 0.657
Si1 0.000 0.000 0.000